## OsClF3 (PBE-GGA)

Data for a geometry-optimized OsClF3 structure.

```
OsClF3
1.0
4.067 0.000 0.000
0.000 4.067 0.000
0.000 0.000 4.067
Os Cl F
1 1 3
Cartesian
0.000 0.000 0.000
2.033 2.033 2.033
0.000 0.000 2.033
0.000 2.033 0.000
2.033 0.000 0.000
```

Output
**Formation energy (no corrections)**: -53 kJ per mole of atoms
**Total DFT energy (no corrections)**: -4.28 eV per atom
**Energy above the most stable polymorph in this dataset**: 799 meV/atom
**Total moment**: 0.00 μB per formula unit